Crystalline Na2MgSb2 at its relaxed geometry, computed with PBEsol.

Unit cell a=7.431 b=7.431 c=5.025 alpha=90.00 beta=90.00 gamma=90.00
Atoms (fractional coordinates):
Na 0.165 0.335 0.000
Na 0.335 0.835 0.000
Na 0.665 0.165 0.000
Na 0.835 0.665 0.000
Mg 0.000 0.000 0.500
Mg 0.500 0.500 0.500
Sb 0.138 0.638 0.500
Sb 0.362 0.138 0.500
Sb 0.638 0.862 0.500
Sb 0.862 0.362 0.500

Uncorrected formation energy ... -7.81 kcal/mol of atoms
Density of states at the Fermi level ... 1.5 states/eV/cell
DFT total energy ... -3.065 eV per atom
Distance to the lowest polymorph of the same formula ... 0 meV per atom
Calculated density ... 3.76 g/cm³